{
  "formula": "Cs4NaCl5",
  "functional": "PBE-GGA",
  "state": "optimized geometry",
  "lattice_angstrom": [[-4.5305, -0.8267, 1.3080], [-0.9255, -2.5889, 3.9192], [-1.6720, 15.4230, 12.7172]],
  "species": ["Cl", "Cl", "Cl", "Cl", "Cl", "Na", "Cs", "Cs", "Cs", "Cs"],
  "frac_coords": [[0.0000, 0.0000, 0.0000], [0.4052, 0.4052, 0.7845], [0.8099, 0.8099, 0.5702], [0.1901, 0.1901, 0.4298], [0.5948, 0.5948, 0.2155], [0.5000, 0.5000, 0.5000], [0.2976, 0.2976, 0.1072], [0.7024, 0.7024, 0.8928], [0.8932, 0.8932, 0.3203], [0.1068, 0.1068, 0.6797]],
  "space_group": "R-3m",
  "dft_energy_ev_per_cell": -32.9,
  "formation_energy_uncorrected_mev_per_atom": -1895,
  "total_magnetization_mub_per_fu": 0.03
}